# 1
# MnMo, relaxed, DFT GGA-PBE
data_MnMo
_cell_length_a 6.652
_cell_length_b 6.652
_cell_length_c 6.652
_cell_angle_alpha 90.00
_cell_angle_beta 90.00
_cell_angle_gamma 90.00
_symmetry_space_group_name_H-M 'P m -3 n'
_symmetry_Int_Tables_number 223
_symmetry_space_group_name_Hall '-P 4n 2 3'
loop_
_atom_site_label
_atom_site_type_symbol
_atom_site_fract_x
_atom_site_fract_y
_atom_site_fract_z
Mn1 Mn 0.000 0.250 0.500
Mo1 Mo 0.000 0.500 0.250
# calculated volume	24.534	Å³/atom
# formation energy	3.99	eV/f.u.



# 2
# Mn2Mo, relaxed, DFT GGA-PBE
data_Mn2Mo
_cell_length_a 2.995
_cell_length_b 2.995
_cell_length_c 18.121
_cell_angle_alpha 90.00
_cell_angle_beta 90.00
_cell_angle_gamma 90.00
_symmetry_space_group_name_H-M 'I 41/a m d'
_symmetry_Int_Tables_number 141
loop_
_symmetry_equiv_pos_as_xyz
'x,y,z'
'-x,-y,-z'
'-y+1/4,x+3/4,z+1/4'
'y+1/4,-x+3/4,-z+1/4'
'-x+1/2,-y,z+1/2'
'x+1/2,y,-z+1/2'
'y+1/4,-x+1/4,z+3/4'
'-y+1/4,x+1/4,-z+3/4'
'x,-y,-z'
'-x,y,z'
'-y+1/4,-x+1/4,-z+3/4'
'y+1/4,x+1/4,z+3/4'
'-x+1/2,y,-z+1/2'
'x+1/2,-y,z+1/2'
'y+1/4,x+3/4,-z+1/4'
'-y+1/4,-x+3/4,z+1/4'
'x+1/2,y+1/2,z+1/2'
'-x+1/2,-y+1/2,-z+1/2'
'-y+3/4,x+1/4,z+3/4'
'y+3/4,-x+1/4,-z+3/4'
'-x,-y+1/2,z'
'x,y+1/2,-z'
'y+3/4,-x+3/4,z+1/4'
'-y+3/4,x+3/4,-z+1/4'
'x+1/2,-y+1/2,-z+1/2'
'-x+1/2,y+1/2,z+1/2'
'-y+3/4,-x+3/4,-z+1/4'
'y+3/4,x+3/4,z+1/4'
'-x,y+1/2,-z'
'x,-y+1/2,z'
'y+3/4,x+1/4,-z+3/4'
'-y+3/4,-x+1/4,z+3/4'
loop_
_atom_site_label
_atom_site_type_symbol
_atom_site_fract_x
_atom_site_fract_y
_atom_site_fract_z
Mn1 Mn 0.000 0.250 0.298
Mo1 Mo 0.000 0.250 0.875
# calculated volume	13.543	Å³/atom
# formation energy	1.48	eV/f.u.



# 3
# MnMo8, relaxed, DFT GGA-PBE
data_MnMo8
_cell_length_a 7.936
_cell_length_b 7.936
_cell_length_c 4.506
_cell_angle_alpha 90.00
_cell_angle_beta 90.00
_cell_angle_gamma 90.00
_symmetry_space_group_name_H-M 'I 4/m m m'
_symmetry_Int_Tables_number 139
_symmetry_space_group_name_Hall '-I 4 2'
loop_
_atom_site_label
_atom_site_type_symbol
_atom_site_fract_x
_atom_site_fract_y
_atom_site_fract_z
Mn1 Mn 0.000 0.000 0.000
Mo1 Mo 0.000 0.326 0.000
Mo2 Mo 0.163 0.163 0.500
# calculated volume	15.767	Å³/atom
# formation energy	2.70	eV/f.u.